[1]
CaNdSbO, optimized geometry, DFT GGA-PBE; DOS at the Fermi energy = 1.50 states/eV/cell; ΔE_f (raw) = -1.987 eV/atom; DFT total energy = -5.950 eV/atom
1.0
-3.643 -2.700 1.234
0.544 -2.528 -3.924
5.505 -5.470 4.288
Sb O Nd Ca
2 2 2 2
Cartesian
-0.686 -2.478 1.501
4.642 -5.605 1.441
1.368 -4.519 3.101
2.588 -3.565 -0.158
2.753 -2.735 2.144
1.203 -5.349 0.799
2.807 -5.949 4.222
1.149 -2.135 -1.279



[2]
CeHo4Tc2, optimized geometry, DFT GGA-PBE; DOS at the Fermi energy = 13.77 states/eV/cell; DFT total energy = -6.460 eV/atom; energy of formation = -0.035 eV/atom
1.0
6.411 0.000 0.000
0.000 7.515 -3.125
0.000 -0.245 7.702
Tc Ce Ho
4 2 8
Cartesian
4.808 2.571 1.856
4.808 5.524 -2.112
1.603 4.698 2.721
1.603 1.745 6.689
4.808 1.362 -0.190
1.603 5.908 4.767
6.384 2.893 4.546
1.603 1.812 1.666
4.808 5.458 2.911
4.808 0.000 2.925
1.603 7.270 1.652
3.233 2.893 4.546
0.027 4.376 0.032
3.178 4.376 0.032



[3]
CaCePrDy, optimized geometry, DFT GGA-PBE; DOS at the Fermi energy = 10.93 states/eV/cell; DFT total energy = -4.091 eV/atom; energy of formation = 0.239 eV/atom
1.0
-4.822 -0.376 3.249
-4.244 -3.697 -1.503
-0.987 -4.762 3.209
Ce Dy Ca Pr
1 1 1 1
Cartesian
-7.540 -6.626 3.716
-5.026 -4.417 2.477
-2.513 -2.209 1.239
0.000 0.000 0.000



[4]
Sb2Pd3Se, optimized geometry, DFT GGA-PBE; DOS at the Fermi energy = 6.65 states/eV/cell; ΔE_f (raw) = -0.271 eV/atom; DFT total energy = -4.823 eV/atom
1.0
6.593 0.083 0.143
-1.368 6.783 -0.520
-1.368 -3.814 5.633
Sb Se Pd
4 2 6
Cartesian
0.280 -1.479 4.326
0.280 6.134 -0.095
3.577 -3.082 5.352
3.577 4.531 0.931
0.280 2.596 1.959
3.577 0.456 3.298
4.337 3.071 3.205
2.613 -1.866 2.888
2.817 1.832 1.072
1.040 1.220 4.185
-0.684 3.392 -0.260
-0.479 -0.019 2.051



[5]
RbPt2Au3, optimized geometry, DFT GGA-PBE; DOS at the Fermi energy = 7.08 states/eV/cell; DFT total energy = -3.916 eV/atom; energy of formation = -0.102 eV/atom
1.0
-1.320 -3.370 -4.241
4.824 3.401 -4.204
3.826 -5.343 3.054
Au Pt Rb
6 4 2
Cartesian
-0.289 -2.685 -3.274
5.833 -4.130 -0.367
7.618 -2.627 -2.117
1.497 -1.182 -5.024
6.256 -0.418 -3.448
1.073 -4.894 -1.943
4.624 1.650 -2.750
3.964 -0.035 -4.871
4.026 -3.592 1.600
3.365 -5.277 -0.520
4.729 -3.811 -3.941
2.601 -1.500 -1.450



[6]
Tb3Ce2NpAs6, optimized geometry, DFT GGA-PBE; DOS at the Fermi energy = 20.21 states/eV/cell; DFT total energy = -6.908 eV/atom; energy of formation = -1.358 eV/atom
1.0
-2.939 2.939 0.055
-5.853 -5.833 -0.995
2.285 -0.823 8.982
As Ce Np Tb
6 2 1 3
Cartesian
-4.406 -4.392 -0.724
-1.668 1.216 2.935
-4.838 -4.933 5.107
-2.100 0.675 8.766
-4.619 -1.725 2.444
-1.887 -1.992 5.598
-4.835 -1.996 5.389
-1.671 -1.720 2.653
-1.469 1.470 0.028
-1.903 0.927 5.853
-4.396 -1.447 -0.470
-4.604 -4.644 2.189



[7]
HfScGa, optimized geometry, DFT GGA-PBE; DOS at the Fermi energy = 12.17 states/eV/cell; DFT total energy = -6.793 eV/atom; energy of formation = -0.356 eV/atom
1.0
3.464 0.000 0.000
0.000 7.842 0.000
0.000 -3.921 6.792
Ga Hf Sc
3 3 3
Cartesian
0.000 0.000 0.000
1.732 0.000 4.528
1.732 3.921 2.264
1.732 5.670 0.000
1.732 1.086 1.882
1.732 -2.835 4.910
0.000 3.025 0.000
0.000 -1.513 2.620
0.000 2.409 4.172



[8]
SrNbGe2O8, optimized geometry, DFT GGA-PBE; DOS at the Fermi energy = 10.64 states/eV/cell; ΔE_f (raw) = -1.844 eV/atom; DFT total energy = -6.898 eV/atom
1.0
-0.185 5.741 1.375
-1.873 -1.373 -5.430
-3.616 -2.751 3.773
O Ge Nb Sr
8 2 1 1
Cartesian
-1.814 0.607 -1.692
-1.919 4.186 0.998
-3.173 -0.448 2.763
-2.154 3.527 -1.645
-1.349 1.178 1.537
-4.207 -0.454 0.011
-2.626 2.183 3.267
-3.764 2.800 0.441
-1.029 2.184 -2.027
-2.415 2.587 1.561
-3.259 -0.970 -1.842
0.000 0.000 0.000



[9]
Be2TeRu, optimized geometry, DFT GGA-PBE; DOS at the Fermi energy = 1.60 states/eV/cell; ΔE_f (raw) = 0.336 eV/atom; DFT total energy = -4.632 eV/atom
1.0
-2.354 -2.413 -2.257
-1.996 -0.736 3.455
-2.019 2.552 -0.623
Te Be Ru
1 2 1
Cartesian
-2.007 0.908 1.416
-2.175 -1.575 0.599
0.000 0.000 0.000
-2.187 0.069 -1.440



[10]
FeAg2Sn2, optimized geometry, DFT GGA-PBE; DOS at the Fermi energy = 6.51 states/eV/cell; DFT total energy = -4.095 eV/atom; energy of formation = 0.339 eV/atom
1.0
-4.885 2.407 -4.390
3.784 -2.242 -5.440
-2.015 -3.794 0.162
Fe Ag Sn
2 4 4
Cartesian
0.000 0.000 0.000
-0.550 0.083 -4.915
-0.940 -2.252 -7.400
-3.839 -0.635 -5.585
0.723 -2.994 -4.083
-2.176 -1.377 -2.268
-1.607 0.543 -7.278
0.506 -0.378 -2.552
1.518 -1.065 -6.063
-2.619 1.230 -3.767



[11]
BeGe2Rh2, optimized geometry, DFT GGA-PBE; DOS at the Fermi energy = 1.85 states/eV/cell; DFT total energy = -5.609 eV/atom; energy of formation = -0.076 eV/atom
1.0
6.741 0.000 0.000
0.000 6.741 0.000
0.000 0.000 3.173
Rh Ge Be
4 4 2
Cartesian
4.406 5.706 1.587
5.706 2.335 1.587
2.335 1.035 1.587
1.035 4.406 1.587
2.392 5.762 0.000
4.349 0.979 0.000
5.762 4.349 0.000
0.979 2.392 0.000
3.371 3.371 0.000
0.000 0.000 0.000



[12]
MnHg4, optimized geometry, DFT GGA-PBE; DOS at the Fermi energy = 4.22 states/eV/cell; DFT total energy = -1.750 eV/atom; energy of formation = 0.326 eV/atom
1.0
-3.616 3.648 -1.543
-3.908 -2.946 2.193
0.644 2.603 4.645
Hg Mn
4 1
Cartesian
0.000 0.000 0.000
-1.486 3.126 1.551
-3.762 0.351 0.325
-1.632 -0.172 3.419
-3.440 1.652 2.648